# 1
Entry from the Open Quantum Materials Database: Sm4CBr4F after structural relaxation (PBE). Values from VASP.

Calculated values
- Final energy: -5.284 eV/atom
- Total moment: 0.03 Bohr magnetons per cell
- Crystal system: monoclinic

```
&SYSTEM
  ibrav = 0, nat = 10, ntyp = 4
/
ATOMIC_SPECIES
Sm 150.36 Sm.upf
C 12.01 C.upf
Br 79.90 Br.upf
F 19.00 F.upf
ATOMIC_POSITIONS angstrom
Sm -0.425 0.000 2.029
Sm 5.771 0.000 3.191
Sm 10.579 0.000 4.295
Sm 16.774 0.000 5.458
C 8.175 0.000 3.743
Br 1.541 0.000 6.467
Br 2.570 0.000 2.303
Br 13.780 0.000 5.184
Br 14.809 0.000 1.019
F 8.990 0.000 0.000
CELL_PARAMETERS angstrom
8.990 -1.876 0.000
8.990 1.876 0.000
-1.629 0.000 7.487
```

***

# 2
Entry from the Open Quantum Materials Database: SrBeNiSn after structural relaxation (PBE). Values from VASP.

Calculated values
- ΔE to the lowest computed polymorph: 248 meV/atom
- Total moment: 0.10 Bohr magnetons per cell
- Crystal system: cubic

```
&SYSTEM
  ibrav = 0, nat = 4, ntyp = 4
/
ATOMIC_SPECIES
Sr 87.62 Sr.upf
Be 9.01 Be.upf
Ni 58.69 Ni.upf
Sn 118.71 Sn.upf
ATOMIC_POSITIONS angstrom
Sr 0.000 0.000 0.000
Be 3.444 3.444 3.444
Ni 5.166 5.166 5.166
Sn 1.722 1.722 1.722
CELL_PARAMETERS angstrom
0.000 3.444 3.444
3.444 0.000 3.444
3.444 3.444 0.000
```